A geometry-optimized NaYGa2 structure, computed with PBE.

Properties
ΔH_f (0 K)	-0.322	eV/atom
polymorph energy (0 for the lowest one)	0	meV per atom
theoretical density	4.65	Mg/m³
D(E_F)	0.461	states/eV per atom

abc: 3.690 4.932 4.932
angles: 90.00 90.00 90.00
Element x y z (fractional)
Y: 0.500 0.500 0.500
Ga: 0.000 0.000 0.500
Ga: 0.000 0.500 0.000
Na: 0.500 0.000 0.000



A geometry-optimized OsW2 structure, computed with PBE.

Properties
ΔH_f (0 K)	1.161	eV/atom
polymorph energy (0 for the lowest one)	1159	meV per atom
theoretical density	16.46	Mg/m³
D(E_F)	0.389	states/eV per atom

abc: 6.083 6.083 6.083
angles: 90.00 90.00 90.00
Element x y z (fractional)
W: 0.374 0.126 0.874
W: 0.874 0.126 0.626
W: 0.126 0.626 0.874
W: 0.626 0.874 0.126
W: 0.874 0.374 0.126
W: 0.626 0.626 0.626
W: 0.126 0.874 0.374
W: 0.374 0.374 0.374
Os: 0.500 0.000 0.500
Os: 0.000 0.500 0.500
Os: 0.500 0.500 0.000
Os: 0.000 0.000 0.000